No. 1
Density functional theory data (GGA-PBE) for crystalline CrRuRh2 at its relaxed geometry.

## Properties
Its formation energy is 0.22 eV per atom. The symmetry is P4mm (99).

The structure in POSCAR format:
```
CrRuRh2
1.0
3.103 0.000 0.000
0.000 3.103 0.000
0.000 0.000 5.808
Cr Ru Rh
1 1 2
Cartesian
0.000 0.000 0.000
1.552 1.552 4.730
0.000 0.000 3.162
1.552 1.552 1.499
```

---

No. 2
Density functional theory data (GGA-PBE) for crystalline Sn2B2C at its relaxed geometry.

## Properties
Its formation energy is 1.60 eV per atom. The value obtained for the energy above the most stable polymorph in this dataset is 159 meV per atom. The symmetry is I4/mmm (139).

The structure in POSCAR format:
```
Sn2B2C
1.0
-1.523 1.523 7.275
1.523 -1.523 7.275
1.523 1.523 -7.275
Sn B C
2 2 1
Cartesian
0.000 0.000 1.502
0.000 0.000 13.047
1.523 0.000 3.637
0.000 1.523 3.637
0.000 0.000 7.275
```

---

No. 3
Density functional theory data (GGA-PBE) for crystalline LaCr2ReH at its relaxed geometry.

## Properties
The symmetry is P4/mmm (123).

The structure in POSCAR format:
```
LaCr2ReH
1.0
4.802 0.000 0.000
0.000 4.802 0.000
0.000 0.000 4.844
La Cr Re H
1 2 1 1
Cartesian
0.000 0.000 0.000
0.000 2.401 0.000
2.401 0.000 0.000
0.000 0.000 2.422
2.401 2.401 2.422
```

---

No. 4
Density functional theory data (GGA-PBE) for crystalline Mg2TlCr at its relaxed geometry.

## Properties
Its formation energy is 0.24 eV per atom. The value obtained for the energy above the most stable polymorph in this dataset is 3 meV per atom. The symmetry is P4/mmm (123).

The structure in POSCAR format:
```
Mg2TlCr
1.0
4.300 0.000 0.000
0.000 4.300 0.000
0.000 0.000 4.408
Mg Tl Cr
2 1 1
Cartesian
0.000 2.150 0.000
2.150 0.000 0.000
0.000 0.000 2.204
2.150 2.150 2.204
```

---

No. 5
Density functional theory data (GGA-PBE) for crystalline SnGeNF2 at its relaxed geometry.

## Properties
The value obtained for the energy above the most stable polymorph in this dataset is 0 meV per atom. The symmetry is P4/mmm (123). For the uncorrected formation energy, the calculation gives -3.6 eV per formula unit.

The structure in POSCAR format:
```
SnGeNF2
1.0
4.337 0.000 0.000
0.000 4.337 0.000
0.000 0.000 3.857
Sn Ge N F
1 1 1 2
Cartesian
0.000 0.000 0.000
2.169 2.169 1.929
2.169 2.169 0.000
0.000 2.169 1.929
2.169 0.000 1.929
```

---

No. 6
Density functional theory data (GGA-PBE) for crystalline LiInReHg2 at its relaxed geometry.

## Properties
Its formation energy is 0.93 eV per atom. The symmetry is P4/mmm (123).

The structure in POSCAR format:
```
LiInReHg2
1.0
5.282 0.000 0.000
0.000 5.282 0.000
0.000 0.000 5.001
Li In Re Hg
1 1 1 2
Cartesian
0.000 0.000 0.000
2.641 2.641 0.000
0.000 0.000 2.501
0.000 2.641 2.501
2.641 0.000 2.501
```

---

In order of appearance, final energy = -8.18; -4.52; -5.14; -3.55; -4.86; -2.61 eV per atom.
In order of appearance, calculated density = 10.657; 6.673; 6.395; 6.212; 5.568; 8.440 g cm⁻³.